[1]
The following is a DFT calculation (PBEsol) of crystalline V3CuP6O24 at its relaxed geometry.

a = 8.282 Å, b = 8.282 Å, c = 8.608 Å
α = 61.25°, β = 61.25°, γ = 60.00°
Site moments in Bohr magnetons follow the coordinates.
Element x y z (fractional)
O: 0.743 0.012 0.581  0.00
O: 0.296 0.134 0.070  0.00
O: 0.605 0.404 0.223  0.02
O: 0.591 0.232 0.767  0.00
O: 0.134 0.500 0.070  0.00
O: 0.876 0.514 0.929  0.03
O: 0.693 0.050 0.288  0.00
O: 0.337 0.275 0.416  0.12
O: 0.008 0.310 0.731  0.11
O: 0.514 0.681 0.929  0.03
O: 0.500 0.296 0.070  0.00
O: 0.310 0.952 0.731  0.11
O: 0.275 0.972 0.416  0.12
O: 0.970 0.693 0.288  0.00
O: 0.768 0.605 0.223  0.02
O: 0.664 0.743 0.581  0.00
O: 0.404 0.768 0.223  0.02
O: 0.012 0.664 0.581  0.00
O: 0.972 0.337 0.416  0.12
O: 0.952 0.008 0.731  0.11
O: 0.410 0.591 0.767  0.00
O: 0.232 0.410 0.767  0.00
O: 0.050 0.970 0.288  0.00
O: 0.681 0.876 0.929  0.03
V: 0.363 0.363 0.912  -0.01
V: 0.858 0.858 0.427  -0.01
V: 0.640 0.640 0.080  0.05
P: 0.525 0.253 0.253  0.00
P: 0.968 0.525 0.253  0.00
P: 0.470 0.752 0.747  0.00
P: 0.752 0.031 0.747  0.00
P: 0.031 0.470 0.747  0.00
P: 0.253 0.968 0.253  0.00
Cu: 0.144 0.144 0.567  0.96

Computed properties:
symmetry	R3, No. 146
formation energy (no corrections)	-2.039	eV/atom

=====

[2]
The following is a DFT calculation (PBEsol) of crystalline ZrF4 at its relaxed geometry.

a = 7.709 Å, b = 7.895 Å, c = 7.895 Å
α = 90.00°, β = 90.00°, γ = 90.00°
Element x y z (fractional)
F: 0.193 0.289 0.560
F: 0.298 0.000 0.500
F: 0.307 0.560 0.711
F: 0.798 0.500 0.000
F: 0.807 0.711 0.440
F: 0.000 0.328 0.292
F: 0.000 0.695 0.181
F: 0.193 0.711 0.440
F: 0.787 0.203 0.063
F: 0.500 0.181 0.305
F: 0.500 0.292 0.672
F: 0.713 0.937 0.203
F: 0.693 0.560 0.711
F: 0.500 0.708 0.328
F: 0.307 0.440 0.289
F: 0.500 0.335 0.962
F: 0.807 0.289 0.560
F: 0.213 0.203 0.063
F: 0.000 0.305 0.819
F: 0.213 0.797 0.937
F: 0.000 0.038 0.335
F: 0.500 0.819 0.695
F: 0.702 0.000 0.500
F: 0.287 0.063 0.797
F: 0.500 0.665 0.038
F: 0.000 0.672 0.708
F: 0.693 0.440 0.289
F: 0.000 0.962 0.665
F: 0.787 0.797 0.937
F: 0.713 0.063 0.797
F: 0.287 0.937 0.203
F: 0.202 0.500 0.000
Zr: 0.270 0.680 0.183
Zr: 0.770 0.817 0.680
Zr: 0.730 0.680 0.183
Zr: 0.770 0.183 0.320
Zr: 0.230 0.817 0.680
Zr: 0.730 0.320 0.817
Zr: 0.270 0.320 0.817
Zr: 0.230 0.183 0.320

Computed properties:
symmetry	P4_2/m, No. 84
formation energy (no corrections)	-3.762	eV/atom
DOS(E_F)	0.00	states/eV per cell

=====

[3]
The following is a DFT calculation (PBEsol) of crystalline Al2CdCo at its relaxed geometry.

a = 3.825 Å, b = 3.825 Å, c = 4.792 Å
α = 113.52°, β = 113.52°, γ = 90.00°
Element x y z (fractional)
Al: 0.000 0.000 0.000
Al: 0.750 0.250 0.500
Co: 0.250 0.750 0.500
Cd: 0.500 0.500 0.000

Computed properties:
symmetry	I-4m2, No. 119
E_form	-0.02	eV/atom
DOS(E_F)	1.25	states/eV per cell

=====

[4]
The following is a DFT calculation (PBEsol) of crystalline CdTe2N at its relaxed geometry.

a = 3.218 Å, b = 3.218 Å, c = 9.577 Å
α = 80.33°, β = 80.33°, γ = 60.00°
Element x y z (fractional)
Cd: 0.000 0.000 0.000
N: 0.500 0.500 0.500
Te: 0.891 0.891 0.327
Te: 0.109 0.109 0.673

Computed properties:
symmetry	R-3m, No. 166
formation energy (no corrections)	0.749	eV/atom
DOS(E_F)	1.84	states/eV per cell

=====

[5]
The following is a DFT calculation (PBEsol) of crystalline SmGe3 at its relaxed geometry.

a = 4.986 Å, b = 6.096 Å, c = 6.096 Å
α = 120.00°, β = 90.00°, γ = 90.00°
Element x y z (fractional)
Ge: 0.250 0.148 0.852
Ge: 0.750 0.296 0.148
Ge: 0.250 0.148 0.296
Ge: 0.250 0.704 0.852
Ge: 0.750 0.852 0.704
Ge: 0.750 0.852 0.148
Sm: 0.750 0.333 0.667
Sm: 0.250 0.667 0.333

Computed properties:
symmetry	P6_3/mmc, No. 194
E_form	-0.45	eV/atom
DOS(E_F)	3.51	states/eV per cell

=====

[6]
The following is a DFT calculation (PBEsol) of crystalline SrBeRu4 at its relaxed geometry.

a = 5.174 Å, b = 5.174 Å, c = 5.174 Å
α = 60.00°, β = 60.00°, γ = 60.00°
Site moments in Bohr magnetons follow the coordinates.
Element x y z (fractional)
Sr: 0.750 0.750 0.750  0.00
Ru: 0.374 0.878 0.374  0.50
Ru: 0.374 0.374 0.374  0.50
Ru: 0.374 0.374 0.878  0.50
Ru: 0.878 0.374 0.374  0.50
Be: 0.000 0.000 0.000  -0.03

Computed properties:
symmetry	F-43m, No. 216
E_form	0.70	eV/atom
DOS(E_F)	7.89	states/eV per cell

=====

[7]
The following is a DFT calculation (PBEsol) of crystalline LiTl2Ga2 at its relaxed geometry.

a = 3.684 Å, b = 3.684 Å, c = 8.777 Å
α = 102.12°, β = 102.12°, γ = 90.00°
Element x y z (fractional)
Li: 0.000 0.000 0.000
Ga: 0.750 0.250 0.500
Ga: 0.250 0.750 0.500
Tl: 0.602 0.602 0.204
Tl: 0.398 0.398 0.796

Computed properties:
symmetry	I4/mmm, No. 139
E_form	-0.01	eV/atom
DOS(E_F)	2.17	states/eV per cell
energy relative to the lowest polymorph listed for this composition	0	meV/atom

=====

[8]
The following is a DFT calculation (PBEsol) of crystalline NiH24C2S2N6O14 at its relaxed geometry.

a = 7.447 Å, b = 10.034 Å, c = 11.911 Å
α = 96.83°, β = 90.00°, γ = 90.00°
Site moments in Bohr magnetons follow the coordinates.
Element x y z (fractional)
H: 0.040 0.272 0.871  0.00
H: 0.315 0.833 0.082  0.00
H: 0.666 0.157 0.623  0.00
H: 0.013 0.487 0.772  0.00
H: 0.336 0.436 0.677  0.00
H: 0.378 0.130 0.909  0.00
H: 0.370 0.264 0.491  0.00
H: 0.834 0.157 0.123  0.00
H: 0.122 0.130 0.409  0.00
H: 0.334 0.843 0.377  0.00
H: 0.269 0.127 0.778  0.00
H: 0.663 0.513 0.958  0.00
H: 0.166 0.843 0.877  0.00
H: 0.817 0.151 0.793  0.00
H: 0.630 0.736 0.509  0.00
H: 0.683 0.151 0.293  0.00
H: 0.460 0.272 0.371  0.00
H: 0.664 0.564 0.323  0.00
H: 0.815 0.167 0.418  0.00
H: 0.837 0.513 0.458  0.00
H: 0.540 0.728 0.629  0.00
H: 0.185 0.833 0.582  0.00
H: 0.987 0.513 0.228  0.00
H: 0.130 0.264 0.991  0.00
H: 0.960 0.728 0.129  0.00
H: 0.836 0.564 0.823  0.00
H: 0.565 0.874 0.384  0.00
H: 0.809 0.394 0.537  0.00
H: 0.337 0.487 0.042  0.00
H: 0.065 0.126 0.116  0.00
H: 0.691 0.394 0.037  0.00
H: 0.231 0.127 0.278  0.00
H: 0.309 0.606 0.963  0.00
H: 0.164 0.436 0.177  0.00
H: 0.685 0.167 0.918  0.00
H: 0.731 0.873 0.222  0.00
H: 0.487 0.487 0.272  0.00
H: 0.878 0.870 0.591  0.00
H: 0.622 0.870 0.091  0.00
H: 0.183 0.849 0.207  0.00
H: 0.513 0.513 0.728  0.00
H: 0.935 0.874 0.884  0.00
H: 0.317 0.849 0.707  0.00
H: 0.163 0.487 0.542  0.00
H: 0.435 0.126 0.616  0.00
H: 0.870 0.736 0.009  0.00
H: 0.191 0.606 0.463  0.00
H: 0.769 0.873 0.722  0.00
N: 0.887 0.880 0.678  0.00
N: 0.387 0.120 0.822  0.00
N: 0.054 0.881 0.842  0.00
N: 0.195 0.857 0.667  0.00
N: 0.305 0.857 0.167  0.00
N: 0.613 0.880 0.178  0.00
N: 0.695 0.143 0.833  0.00
N: 0.113 0.120 0.322  0.00
N: 0.554 0.119 0.658  0.00
N: 0.446 0.881 0.342  0.00
N: 0.946 0.119 0.158  0.00
N: 0.805 0.143 0.333  0.00
O: 0.892 0.602 0.342  0.00
O: 0.608 0.602 0.842  0.00
O: 0.616 0.243 0.069  0.00
O: 0.392 0.398 0.158  0.00
O: 0.299 0.183 0.057  0.00
O: 0.108 0.398 0.658  0.00
O: 0.543 0.810 0.764  0.00
O: 0.036 0.454 0.162  0.05
O: 0.201 0.183 0.557  0.00
O: 0.022 0.297 0.954  0.05
O: 0.116 0.757 0.431  0.00
O: 0.457 0.190 0.236  0.00
O: 0.731 0.486 0.024  0.06
O: 0.384 0.757 0.931  0.00
O: 0.269 0.514 0.976  0.06
O: 0.964 0.546 0.838  0.05
O: 0.043 0.190 0.736  0.00
O: 0.884 0.243 0.569  0.00
O: 0.464 0.454 0.662  0.05
O: 0.978 0.703 0.046  0.05
O: 0.536 0.546 0.338  0.05
O: 0.799 0.817 0.443  0.00
O: 0.701 0.817 0.943  0.00
O: 0.769 0.486 0.524  0.06
O: 0.522 0.703 0.546  0.05
O: 0.957 0.810 0.264  0.00
O: 0.478 0.297 0.454  0.05
O: 0.231 0.514 0.476  0.06
S: 0.942 0.748 0.370  0.00
S: 0.058 0.252 0.630  0.00
S: 0.558 0.748 0.870  0.00
S: 0.442 0.252 0.130  0.00
C: 0.045 0.871 0.729  0.00
C: 0.545 0.129 0.771  0.00
C: 0.955 0.129 0.271  0.00
C: 0.455 0.871 0.229  0.00
Ni: 0.000 0.500 0.000  1.63
Ni: 0.500 0.500 0.500  1.63

Computed properties:
symmetry	P2_1/c, No. 14
total energy	-561.871	eV for the cell shown
DOS(E_F)	0.00	states/eV per cell

=====

[9]
The following is a DFT calculation (PBEsol) of crystalline CrGe3Bi at its relaxed geometry.

a = 5.336 Å, b = 5.336 Å, c = 5.336 Å
α = 90.00°, β = 90.00°, γ = 90.00°
Site moments in Bohr magnetons follow the coordinates.
Element x y z (fractional)
Ge: 0.000 0.000 0.500  -0.04
Ge: 0.500 0.000 0.000  -0.04
Ge: 0.000 0.500 0.000  -0.04
Bi: 0.000 0.000 0.000  0.01
Cr: 0.500 0.500 0.500  4.16

Computed properties:
symmetry	Pm-3m, No. 221
E_form	1.55	eV/atom
DOS(E_F)	3.43	states/eV per cell

=====

[10]
The following is a DFT calculation (PBEsol) of crystalline ZnPt2Rh at its relaxed geometry.

a = 3.842 Å, b = 3.842 Å, c = 4.701 Å
α = 114.12°, β = 114.12°, γ = 90.00°
Element x y z (fractional)
Zn: 0.500 0.500 0.000
Rh: 0.000 0.000 0.000
Pt: 0.250 0.750 0.500
Pt: 0.750 0.250 0.500

Computed properties:
symmetry	I4/mmm, No. 139
E_form	-0.24	eV/atom
DOS(E_F)	5.36	states/eV per cell